Entry from the Alexandria database: a relaxed structure of MgAlPt2 (PBE).

```
MgAlPt2
1.0
-5.284 1.933 -6.996
-3.166 0.486 -8.387
-5.358 -0.980 -7.137
Al Pt Mg
1 2 1
Cartesian
-6.983 0.728 -11.387
-0.029 0.003 -0.048
-3.381 0.352 -5.515
-10.320 1.075 -16.830
```

Properties
Size of the total moment ... 0.00 μB per formula unit
DFT formation energy ... -0.41 eV/atom
Calculated density ... 11.27 g/cm3
Space group ... No. 160